Compound: ErTm4Mg2
Source: the Alexandria database
Functional: PBE
Structure: optimized geometry

Computed properties:
**Total moment**: 0.00 μB/f.u.
**Mass density**: 7.3 g/cm3
**Energy relative to the elements**: 0.036 eV per atom
**Symmetry**: Cmmm (65)
**ΔE to the lowest computed polymorph**: 0.0 meV per atom

Cell and atoms, written as extended XYZ:
```
7
Lattice="1.732 -17.135 0.000 1.732 17.135 0.000 0.000 0.000 3.419" Properties=species:S:1:pos:R:3 pbc="T T T"
Er 0.000 0.000 0.000
Tm 1.732 12.160 0.000
Tm 1.732 2.520 1.709
Tm 1.732 -2.520 1.709
Tm 1.732 -12.160 0.000
Mg 1.732 7.280 1.709
Mg 1.732 -7.280 1.709
```